A plane-wave DFT calculation with PBE was carried out for an optimized crystal structure of CaMgSb2.

```
CaMgSb2
1.0
0.000 3.778 3.778
3.778 0.000 3.778
3.778 3.778 0.000
Sb Ca Mg
2 1 1
Direct
0.250 0.250 0.250
0.750 0.750 0.750
0.500 0.500 0.500
0.000 0.000 0.000
```

Output
* formation energy (no corrections): -159 kJ/mol of formula units
* theoretical density: 4.74 Mg/m³
* E: -3.371 eV per atom
* space-group type: No. 225
* M_tot: 0.00 μB per formula unit
* DOS at the Fermi energy: 0.5456 states/eV/atom

A plane-wave DFT calculation with PBE was carried out for an optimized crystal structure of Dy2InP3Rh12.

```
Dy2InP3Rh12
1.0
6.486 -1.379 -0.978
2.004 6.321 -0.978
2.004 1.167 6.289
Dy In P Rh
2 1 3 12
Direct
0.626 0.626 0.626
0.374 0.374 0.374
0.000 0.000 0.000
0.500 0.000 0.000
0.000 0.500 0.000
0.000 0.000 0.500
0.370 0.370 0.904
0.824 0.824 0.335
0.335 0.824 0.824
0.904 0.370 0.370
0.824 0.335 0.824
0.370 0.904 0.370
0.630 0.630 0.096
0.176 0.176 0.665
0.665 0.176 0.176
0.096 0.630 0.630
0.176 0.665 0.176
0.630 0.096 0.630
```

Output
* energy of formation from the pure elements: -0.2937 eV per atom
* theoretical density: 9.94 Mg/m³
* E: -6.760 eV per atom
* space-group type: No. 166
* M_tot: 0.00 μB per formula unit
* DOS at the Fermi energy: 0.9315 states/eV/atom

A plane-wave DFT calculation with PBE was carried out for an optimized crystal structure of Ir2RuSe.

```
Ir2RuSe
1.0
2.837 0.000 0.000
0.000 2.837 0.000
0.000 0.000 7.532
Ir Ru Se
2 1 1
Direct
0.000 0.000 0.012
0.500 0.500 0.255
0.000 0.000 0.502
0.500 0.500 0.730
```

Output
* formation energy (no corrections): 126 kJ/mol of formula units
* theoretical density: 15.46 Mg/m³
* E: -7.294 eV per atom
* space-group type: No. 99
* M_tot: 0.00 μB per formula unit
* DOS at the Fermi energy: 1.0292 states/eV/atom

A plane-wave DFT calculation with PBE was carried out for an optimized crystal structure of Nd10Sm4Er.

```
Nd10Sm4Er
1.0
7.154 0.000 3.230
3.577 8.795 1.615
-0.042 0.000 9.631
Nd Sm Er
10 4 1
Direct
0.250 0.500 0.500
0.652 0.298 0.900
0.049 0.100 0.298
0.448 0.900 0.702
0.850 0.702 0.100
0.348 0.702 0.100
0.750 0.500 0.500
0.150 0.298 0.900
0.552 0.100 0.298
0.951 0.900 0.702
0.399 0.801 0.400
0.799 0.600 0.801
0.201 0.400 0.199
0.601 0.199 0.600
0.000 0.000 0.000
```

Output
* energy of formation from the pure elements: 0.6995 eV per atom
* theoretical density: 6.05 Mg/m³
* E: -4.042 eV per atom
* space-group type: No. 87
* M_tot: 0.00 μB per formula unit
* DOS at the Fermi energy: 1.5091 states/eV/atom

A plane-wave DFT calculation with PBE was carried out for an optimized crystal structure of BiTePb2O6.

```
BiTePb2O6
1.0
6.082 0.000 0.000
3.041 5.268 0.000
3.041 1.756 5.151
Bi Te Pb O
1 1 2 6
Direct
0.810 0.810 0.571
0.315 0.316 0.053
0.534 0.534 0.399
0.035 0.035 0.896
0.573 0.153 0.252
0.154 0.021 0.252
0.021 0.573 0.252
0.481 0.630 0.779
0.630 0.109 0.780
0.109 0.481 0.780
```

Output
* formation energy (no corrections): -1020 kJ/mol of formula units
* theoretical density: 8.52 Mg/m³
* E: -5.476 eV per atom
* space-group type: No. 146
* M_tot: 0.00 μB per formula unit
* DOS at the Fermi energy: 0.3098 states/eV/atom

A plane-wave DFT calculation with PBE was carried out for an optimized crystal structure of CaZnSi2.

```
CaZnSi2
1.0
-3.598 -3.149 -0.255
0.324 -3.774 -2.930
0.536 -4.400 1.813
Ca Si Zn
1 2 1
Direct
0.500 0.500 0.500
0.000 0.000 0.000
0.750 0.750 0.750
0.250 0.250 0.250
```

Output
* formation energy (no corrections): 66 kJ/mol of formula units
* theoretical density: 3.46 Mg/m³
* E: -3.360 eV per atom
* space-group type: No. 216
* M_tot: 0.00 μB per formula unit
* DOS at the Fermi energy: 0.7529 states/eV/atom

A plane-wave DFT calculation with PBE was carried out for an optimized crystal structure of AlAgRu4.

```
AlAgRu4
1.0
0.000 3.618 3.618
3.618 0.000 3.618
3.618 3.618 0.000
Al Ag Ru
1 1 4
Direct
0.000 0.000 0.000
0.750 0.750 0.750
0.875 0.375 0.375
0.375 0.375 0.875
0.375 0.875 0.375
0.375 0.375 0.375
```

Output
* energy of formation from the pure elements: 0.4518 eV per atom
* theoretical density: 9.45 Mg/m³
* E: -6.831 eV per atom
* space-group type: No. 216
* M_tot: 2.18 μB per formula unit
* DOS at the Fermi energy: 1.2960 states/eV/atom

A plane-wave DFT calculation with PBE was carried out for an optimized crystal structure of Y4Er3Tm3.

```
Y4Er3Tm3
1.0
3.696 0.000 0.000
0.000 9.223 -0.042
0.000 0.039 9.223
Y Er Tm
4 3 3
Direct
0.000 0.628 0.372
0.000 0.372 0.628
0.000 0.872 0.872
0.000 0.128 0.128
0.500 0.829 0.171
0.500 0.329 0.329
0.500 0.671 0.671
0.000 0.499 0.000
0.000 0.000 0.501
0.500 0.171 0.829
```

Output
* energy of formation from the pure elements: 0.1122 eV per atom
* theoretical density: 7.21 Mg/m³
* E: -5.184 eV per atom
* space-group type: No. 38
* M_tot: 0.00 μB per formula unit
* DOS at the Fermi energy: 0.8222 states/eV/atom

> Number 5 is which compound?

BiTePb2O6